Here is crystalline CaCoAg2F6 at its relaxed geometry from Alexandria via LeMat-Bulk. Energies are from PBE+U.

Results
* E_tot: -4.593 eV/atom
* total magnetization: 6.00 μB/cell

a b c (Å): 5.8395 5.9517 10.1299
angles (deg): 90.00 124.84 90.00
Element x y z (fractional)
Ca 0.0000 0.0000 0.0000
Ca 0.0000 0.5000 0.5000
Co 0.5000 0.0000 0.5000
Co 0.5000 0.5000 0.0000
Ag 0.2654 0.0460 0.7504
Ag 0.2654 0.4540 0.2504
Ag 0.7346 0.5460 0.7496
Ag 0.7346 0.9540 0.2496
F 0.1565 0.0400 0.2631
F 0.1565 0.4600 0.7631
F 0.2743 0.6955 0.0559
F 0.2743 0.8045 0.5559
F 0.3659 0.2192 0.0583
F 0.3659 0.2808 0.5583
F 0.6341 0.7192 0.4417
F 0.6341 0.7808 0.9417
F 0.7257 0.1955 0.4441
F 0.7257 0.3045 0.9441
F 0.8435 0.5400 0.2369
F 0.8435 0.9600 0.7369